[1]
Entry from Alexandria via LeMat-Bulk: a relaxed AcTlCu crystal (PBE-GGA).

Unit cell a=4.4500 b=6.2384 c=6.7484 alpha=93.62 beta=109.24 gamma=110.67
Last column: nearest neighbours and their distance in Å.
Space group P-1 (No. 2)
Asymmetric unit:
Ac (0.2465, 0.3146, 0.1777) x2  5 Cu 3.22-3.50, 1 Tl 3.60
Tl (0.0948, 0.7862, 0.4034) x2  3 Cu 2.85-2.92
Cu (0.4579, 0.0868, 0.8296) x2  1 Cu 2.58, 2 Tl 2.85-2.86

Summary:
V (A^3/atom): 27.01
Calculated formation energy (eV per formula unit): -0.65


[2]
Entry from Alexandria via LeMat-Bulk: a relaxed Ac3Tl4Cu2 crystal (PBE-GGA).

Unit cell a=11.8895 b=4.9382 c=9.6500 alpha=90.00 beta=111.14 gamma=90.00
Last column: nearest neighbours and their distance in Å.
Space group C2/m (No. 12)
Asymmetric unit:
Ac (0.0000, 0.0000, 0.0000) x2  8 Tl 3.33-3.60, 4 Cu 3.52
Ac (0.1728, 0.5000, 0.6440) x4  4 Cu 3.33-3.60, 7 Tl 3.44-3.62
Tl (0.0347, 0.0000, 0.3586) x4  2 Cu 2.79, 1 Tl 3.12
Tl (0.2359, 0.5000, 0.0903) x4  1 Cu 2.81, 2 Tl 3.11
Cu (0.1010, 0.5000, 0.2774) x4  3 Tl 2.79-2.81

Summary:
V (A^3/atom): 29.36
Calculated formation energy (eV per formula unit): -2.26


Q: The highest calculated formation energy belongs to which entry?
A: AcTlCu